Record 1
VASP calculation (PBE-GGA) on a relaxed structure of LiCrOsW.

CIF file:
```
data_LiCrOsW
_chemical_formula_sum 'Li4 Cr4 Os4 W4'
_space_group_name_H-M_alt 'F -4 3 m'
_space_group_IT_number 216
_space_group_name_Hall 'F -4 2 3'
_cell_length_a 6.064
_cell_length_b 6.064
_cell_length_c 6.064
_cell_angle_alpha 90.00
_cell_angle_beta 90.00
_cell_angle_gamma 90.00
loop_
_atom_site_label
_atom_site_fract_x
_atom_site_fract_y
_atom_site_fract_z
Li1 0.000 0.000 0.000
Cr1 0.250 0.250 0.250
Os1 0.250 0.250 0.750
W1 0.000 0.000 0.500
```

Summary:
DFT total energy ... -8.76 eV per atom

Record 2
VASP calculation (PBE-GGA) on a relaxed structure of Cr2CuPt.

CIF file:
```
data_Cr2CuPt
_chemical_formula_sum 'Cr2 Cu1 Pt1'
_space_group_name_H-M_alt 'P m m 2'
_space_group_IT_number 25
_space_group_name_Hall 'P 2 -2'
_cell_length_a 2.853
_cell_length_b 3.408
_cell_length_c 5.550
_cell_angle_alpha 90.00
_cell_angle_beta 90.00
_cell_angle_gamma 90.00
loop_
_atom_site_label
_atom_site_fract_x
_atom_site_fract_y
_atom_site_fract_z
Cr1 0.000 0.000 0.000
Cr2 0.500 0.500 0.232
Cu1 0.000 0.000 0.476
Pt1 0.500 0.500 0.730
```

Summary:
DFT total energy ... -7.33 eV per atom

Record 3
VASP calculation (PBE-GGA) on a relaxed structure of Pu5Th3H12.

CIF file:
```
data_Pu5Th3H12
_chemical_formula_sum 'Pu40 Th24 H96'
_space_group_name_H-M_alt 'I a -3 d'
_space_group_IT_number 230
_space_group_name_Hall '-I 4bd 2c 3'
_cell_length_a 13.218
_cell_length_b 13.218
_cell_length_c 13.218
_cell_angle_alpha 90.00
_cell_angle_beta 90.00
_cell_angle_gamma 90.00
loop_
_atom_site_label
_atom_site_fract_x
_atom_site_fract_y
_atom_site_fract_z
Pu1 0.000 0.000 0.000
Pu2 0.000 0.250 0.375
Th1 0.000 0.250 0.125
H1 0.004 0.074 0.653
```

Summary:
DFT total energy ... -6.96 eV per atom

Record 4
VASP calculation (PBE-GGA) on a relaxed structure of SrLi2Sn8.

CIF file:
```
data_SrLi2Sn8
_chemical_formula_sum 'Sr1 Li2 Sn8'
_space_group_name_H-M_alt 'P 4/m m m'
_space_group_IT_number 123
_space_group_name_Hall '-P 4 2'
_cell_length_a 6.411
_cell_length_b 6.411
_cell_length_c 8.249
_cell_angle_alpha 90.00
_cell_angle_beta 90.00
_cell_angle_gamma 90.00
loop_
_atom_site_label
_atom_site_fract_x
_atom_site_fract_y
_atom_site_fract_z
Sr1 0.000 0.000 0.000
Li1 0.000 0.500 0.500
Sn1 0.258 0.258 0.305
```

Summary:
DFT total energy ... -3.48 eV per atom